# HgHOs2 (PBE, optimized geometry)
# Total energy: -4.802 eV/atom
# ΔE to the lowest computed polymorph: 0.741 eV/atom
# D(E_F): 1.273 states/eV per atom
data_HgHOs2
_chemical_formula_sum 'Hg4 H4 Os8'
_cell_length_a 6.105
_cell_length_b 6.105
_cell_length_c 6.105
_cell_angle_alpha 90.00
_cell_angle_beta 90.00
_cell_angle_gamma 90.00
_space_group_name_H-M_alt 'F m -3 m'
_space_group_IT_number 225
_space_group_name_Hall '-F 4 2 3'
loop_
_atom_site_label
_atom_site_type_symbol
_atom_site_fract_x
_atom_site_fract_y
_atom_site_fract_z
_atom_site_occupancy
Hg1 Hg 0.000 0.000 0.000 1
H1 H 0.000 0.000 0.500 1
Os1 Os 0.250 0.250 0.250 1

---

# TiAlTc2H (PBE, optimized geometry)
# Total energy: -7.432 eV/atom
# D(E_F): 0.931 states/eV per atom
data_TiAlTc2H
_chemical_formula_sum 'Ti1 Al1 Tc2 H1'
_cell_length_a 4.156
_cell_length_b 4.156
_cell_length_c 3.544
_cell_angle_alpha 90.00
_cell_angle_beta 90.00
_cell_angle_gamma 90.00
_space_group_name_H-M_alt 'P 4/m m m'
_space_group_IT_number 123
_space_group_name_Hall '-P 4 2'
loop_
_atom_site_label
_atom_site_type_symbol
_atom_site_fract_x
_atom_site_fract_y
_atom_site_fract_z
_atom_site_occupancy
Ti1 Ti 0.000 0.000 0.000 1
Al1 Al 0.500 0.500 0.000 1
Tc1 Tc 0.000 0.500 0.500 1
H1 H 0.000 0.000 0.500 1

---

# DyHo7Tl4 (PBE, optimized geometry)
# Formation enthalpy at 0 K: -0.024 eV/f.u.
# Total energy: -3.845 eV/atom
# D(E_F): 1.126 states/eV per atom
data_DyHo7Tl4
_chemical_formula_sum 'Dy2 Ho14 Tl8'
_cell_length_a 14.905
_cell_length_b 5.757
_cell_length_c 9.745
_cell_angle_alpha 90.00
_cell_angle_beta 121.56
_cell_angle_gamma 90.00
_space_group_name_H-M_alt 'C 1 2/m 1'
_space_group_IT_number 12
_space_group_name_Hall '-C 2y'
loop_
_atom_site_label
_atom_site_type_symbol
_atom_site_fract_x
_atom_site_fract_y
_atom_site_fract_z
_atom_site_occupancy
Dy1 Dy 0.000 0.000 0.000 1
Ho1 Ho 0.000 0.500 0.000 1
Ho2 Ho 0.069 0.000 0.408 1
Ho3 Ho 0.204 0.000 0.879 1
Ho4 Ho 0.243 0.500 0.696 1
Tl1 Tl 0.048 0.500 0.712 1
Tl2 Tl 0.185 0.500 0.338 1

---

# LiTbPaSe4 (PBE, optimized geometry)
# E_form (uncorrected): -1528 meV/atom
# Total energy: -5.811 eV/atom
# D(E_F): 0.834 states/eV per atom
data_LiTbPaSe4
_chemical_formula_sum 'Li4 Tb4 Pa4 Se16'
_cell_length_a 8.280
_cell_length_b 8.372
_cell_length_c 11.775
_cell_angle_alpha 90.00
_cell_angle_beta 90.00
_cell_angle_gamma 90.00
_space_group_name_H-M_alt 'I m m a'
_space_group_IT_number 74
_space_group_name_Hall '-I 2b 2'
loop_
_atom_site_label
_atom_site_type_symbol
_atom_site_fract_x
_atom_site_fract_y
_atom_site_fract_z
_atom_site_occupancy
Li1 Li 0.000 0.250 0.131 1
Tb1 Tb 0.250 0.250 0.750 1
Pa1 Pa 0.000 0.000 0.500 1
Se1 Se 0.000 0.010 0.742 1
Se2 Se 0.238 0.250 0.504 1

---

# Li2AcMgTl5 (PBE, optimized geometry)
# Formation enthalpy at 0 K: -1.275 eV/f.u.
# Total energy: -2.515 eV/atom
# D(E_F): 0.525 states/eV per atom
data_Li2AcMgTl5
_chemical_formula_sum 'Li2 Ac1 Mg1 Tl5'
_cell_length_a 5.371
_cell_length_b 5.371
_cell_length_c 8.238
_cell_angle_alpha 90.00
_cell_angle_beta 90.00
_cell_angle_gamma 90.00
_space_group_name_H-M_alt 'P 4/m m m'
_space_group_IT_number 123
_space_group_name_Hall '-P 4 2'
loop_
_atom_site_label
_atom_site_type_symbol
_atom_site_fract_x
_atom_site_fract_y
_atom_site_fract_z
_atom_site_occupancy
Li1 Li 0.000 0.000 0.157 1
Ac1 Ac 0.500 0.500 0.500 1
Mg1 Mg 0.500 0.500 0.000 1
Tl1 Tl 0.000 0.000 0.500 1
Tl2 Tl 0.000 0.500 0.215 1

---

# ZnCo2Cl (PBE, optimized geometry)
# E_form (uncorrected): 529 meV/atom
# Total energy: -3.804 eV/atom
# ΔE to the lowest computed polymorph: 0.452 eV/atom
# D(E_F): 1.512 states/eV per atom
data_ZnCo2Cl
_chemical_formula_sum 'Zn1 Co2 Cl1'
_cell_length_a 4.282
_cell_length_b 4.282
_cell_length_c 2.934
_cell_angle_alpha 90.00
_cell_angle_beta 90.00
_cell_angle_gamma 90.00
_space_group_name_H-M_alt 'P 4/m m m'
_space_group_IT_number 123
_space_group_name_Hall '-P 4 2'
loop_
_atom_site_label
_atom_site_type_symbol
_atom_site_fract_x
_atom_site_fract_y
_atom_site_fract_z
_atom_site_occupancy
Zn1 Zn 0.000 0.000 0.000 1
Co1 Co 0.000 0.500 0.500 1
Cl1 Cl 0.500 0.500 0.000 1

---

# Zr2CrOs (PBE, optimized geometry)
# Formation enthalpy at 0 K: 0.324 eV/f.u.
# Total energy: -9.406 eV/atom
# D(E_F): 1.280 states/eV per atom
data_Zr2CrOs
_chemical_formula_sum 'Zr4 Cr2 Os2'
_cell_length_a 3.869
_cell_length_b 3.869
_cell_length_c 9.601
_cell_angle_alpha 90.00
_cell_angle_beta 90.00
_cell_angle_gamma 90.00
_space_group_name_H-M_alt 'I -4 m 2'
_space_group_IT_number 119
_space_group_name_Hall 'I -4 -2'
loop_
_atom_site_label
_atom_site_type_symbol
_atom_site_fract_x
_atom_site_fract_y
_atom_site_fract_z
_atom_site_occupancy
Zr1 Zr 0.000 0.000 0.000 1
Zr2 Zr 0.000 0.500 0.250 1
Cr1 Cr 0.000 0.500 0.750 1
Os1 Os 0.000 0.000 0.500 1

---

# TbAlZnO4 (PBE, optimized geometry)
# E_form (uncorrected): -2560 meV/atom
# Total energy: -6.772 eV/atom
# D(E_F): 0.000 states/eV per atom
data_TbAlZnO4
_chemical_formula_sum 'Tb4 Al4 Zn4 O16'
_cell_length_a 6.059
_cell_length_b 6.525
_cell_length_c 8.774
_cell_angle_alpha 90.00
_cell_angle_beta 90.00
_cell_angle_gamma 90.00
_space_group_name_H-M_alt 'I m m a'
_space_group_IT_number 74
_space_group_name_Hall '-I 2b 2'
loop_
_atom_site_label
_atom_site_type_symbol
_atom_site_fract_x
_atom_site_fract_y
_atom_site_fract_z
_atom_site_occupancy
Tb1 Tb 0.000 0.000 0.000 1
Al1 Al 0.250 0.250 0.250 1
Zn1 Zn 0.000 0.250 0.614 1
O1 O 0.000 0.042 0.256 1
O2 O 0.247 0.250 0.029 1

---

> What is the total energy in the second record?

-7.432 eV/atom